# 1
First-principles (PBE) data for a relaxed In2Ni3Au2 crystal, as listed in Alexandria via LeMat-Bulk.

a = 4.3910 Å, b = 4.3910 Å, c = 7.2730 Å
α = 107.30°, β = 107.30°, γ = 60.20°
Sites, in units of the cell vectors:
In: 0.1090 0.1090 0.3287
In: 0.8910 0.8910 0.6713
Ni: 0.2416 0.2416 0.7209
Ni: 0.5000 0.5000 0.5000
Ni: 0.7584 0.7584 0.2791
Au: 0.3688 0.3688 0.1085
Au: 0.6312 0.6312 0.8915

Summary:
density of states at the Fermi level: 3.98 states/eV/cell
energy relative to the elements: -0.3 eV/f.u.
final energy: -4.24 eV per atom

# 2
First-principles (PBE) data for a relaxed InNi2Au crystal, as listed in Alexandria via LeMat-Bulk.

a = 8.3887 Å, b = 8.3887 Å, c = 8.3887 Å
α = 20.37°, β = 20.37°, γ = 20.37°
Sites, in units of the cell vectors:
In: 0.0000 0.0000 0.0000
Ni: 0.2506 0.2506 0.2506
Ni: 0.7494 0.7494 0.7494
Au: 0.5000 0.5000 0.5000

Summary:
density of states at the Fermi level: 4.05 states/eV/cell
energy relative to the elements: 0.7 eV/f.u.
final energy: -4.21 eV per atom

# 3
First-principles (PBE) data for a relaxed InNi2Au crystal, as listed in Alexandria via LeMat-Bulk.

a = 4.4180 Å, b = 4.4180 Å, c = 4.4180 Å
α = 60.00°, β = 60.00°, γ = 60.00°
Sites, in units of the cell vectors:
In: 0.0000 0.0000 0.0000
Ni: 0.2500 0.2500 0.2500
Ni: 0.5000 0.5000 0.5000
Au: 0.7500 0.7500 0.7500

Summary:
density of states at the Fermi level: 2.42 states/eV/cell
energy relative to the elements: 0.1 eV/f.u.
final energy: -4.36 eV per atom

Q: Among the records above, which one has the lowest final energy?
A: number 3